[1]
DFT (meta-GGA SCAN) results for La3ReHg at its PBEsol-relaxed geometry.

space group	Pm-3m, No. 221
DFT formation energy	-0.05	eV/atom

Lattice parameters (Å, degrees): 5.4517 5.4517 5.4517 90.00 90.00 90.00
With the nearest neighbours (Å) after each atom.
Fractional positions:
La (0.0000, 0.0000, 0.5000)  2 Re 2.73
La (0.0000, 0.5000, 0.0000)  2 Re 2.73
La (0.5000, 0.0000, 0.0000)  2 Re 2.73
Re (0.0000, 0.0000, 0.0000)  6 La 2.73
Hg (0.5000, 0.5000, 0.5000)  12 La 3.85


[2]
DFT (meta-GGA SCAN) results for Sn2GeOsF at its PBEsol-relaxed geometry.

ΔE_f (raw)	0.657	eV per atom
space group	P4/mmm, No. 123

Lattice parameters (Å, degrees): 4.9394 4.9394 3.9966 90.00 90.00 90.00
With the nearest neighbours (Å) after each atom.
Fractional positions:
Sn (0.0000, 0.5000, 0.0000)  2 F 2.47
Sn (0.5000, 0.0000, 0.0000)  2 F 2.47
Ge (0.0000, 0.0000, 0.5000)  8 Sn 3.18, 4 Os 3.49
Os (0.5000, 0.5000, 0.5000)  2 F 2.00
F (0.5000, 0.5000, 0.0000)  2 Os 2.00


[3]
DFT (meta-GGA SCAN) results for Al6Ag5 at its PBEsol-relaxed geometry.

energy relative to the lowest polymorph listed for this composition	5	meV per atom
space group	Cm, No. 8
DFT formation energy	-0.06	eV/atom

Lattice parameters (Å, degrees): 9.3101 9.3101 6.9017 104.79 104.79 17.97
With the nearest neighbours (Å) after each atom.
Fractional positions:
Al (0.0000, 0.0000, 0.0000)  4 Ag 2.75-2.79, 8 Al 2.84-2.91
Al (0.1804, 0.1804, 0.4741)  7 Ag 2.78-2.83, 5 Al 2.85-2.91
Al (0.2693, 0.2693, 0.1849)  8 Ag 2.77-2.86, 4 Al 2.88-2.91
Al (0.3620, 0.3620, 0.9056)  6 Al 2.75-2.91, 6 Ag 2.80-2.84
Al (0.4489, 0.4489, 0.6360)  6 Al 2.75-2.91, 6 Ag 2.78-2.88
Al (0.5426, 0.5426, 0.3665)  5 Ag 2.73-2.81, 7 Al 2.84-2.91
Ag (0.0823, 0.0823, 0.7198)  6 Al 2.75-2.78, 6 Ag 2.91-3.00
Ag (0.6340, 0.6340, 0.1112)  7 Al 2.73-2.83, 5 Ag 2.89-3.00
Ag (0.7272, 0.7272, 0.8322)  6 Al 2.77-2.80, 6 Ag 2.88-2.96
Ag (0.8146, 0.8146, 0.5403)  8 Al 2.79-2.84, 4 Ag 2.87-2.91
Ag (0.9076, 0.9076, 0.2638)  9 Al 2.79-2.88, 3 Ag 2.87-2.91


[4]
DFT (meta-GGA SCAN) results for In2AgMo at its PBEsol-relaxed geometry.

energy relative to the lowest polymorph listed for this composition	0	meV per atom
space group	R-3m, No. 166
DFT formation energy	0.30	eV/atom

Lattice parameters (Å, degrees): 9.5494 9.5494 9.5494 18.17 18.17 18.17
With the nearest neighbours (Å) after each atom.
Fractional positions:
In (0.2486, 0.2486, 0.2486)  3 Mo 2.89, 3 Ag 2.95, 6 In 3.02
In (0.7514, 0.7514, 0.7514)  3 Mo 2.89, 3 Ag 2.95, 6 In 3.02
Ag (0.0000, 0.0000, 0.0000)  6 In 2.95, 6 Ag 3.02
Mo (0.5000, 0.5000, 0.5000)  6 In 2.89, 6 Mo 3.02


[5]
DFT (meta-GGA SCAN) results for MgAs2Cl at its PBEsol-relaxed geometry.

ΔE_f (raw)	-0.464	eV per atom
space group	I-42d, No. 122

Lattice parameters (Å, degrees): 11.6767 11.6767 11.6767 161.09 161.09 26.86
With the nearest neighbours (Å) after each atom.
Fractional positions:
Mg (0.0000, 0.0000, 0.0000)  4 Cl 2.71
Mg (0.7500, 0.2500, 0.5000)  4 Cl 2.71
As (0.0729, 0.6250, 0.9479)  2 As 2.45
As (0.3750, 0.3229, 0.4479)  2 As 2.45
As (0.6771, 0.1250, 0.0521)  2 As 2.45
As (0.8750, 0.9271, 0.5521)  2 As 2.45
Cl (0.2500, 0.7500, 0.5000)  4 Mg 2.71
Cl (0.5000, 0.5000, 0.0000)  4 Mg 2.71


[6]
DFT (meta-GGA SCAN) results for SrCaY2 at its PBEsol-relaxed geometry.

energy relative to the lowest polymorph listed for this composition	103	meV per atom
space group	R-3m, No. 166
DFT formation energy	0.20	eV/atom

Lattice parameters (Å, degrees): 12.5191 12.5191 12.5191 16.90 16.90 16.90
With the nearest neighbours (Å) after each atom.
Fractional positions:
Sr (0.0000, 0.0000, 0.0000)  6 Sr 3.68, 6 Y 3.82
Ca (0.5000, 0.5000, 0.5000)  6 Y 3.67, 6 Ca 3.68
Y (0.2476, 0.2476, 0.2476)  3 Ca 3.67, 6 Y 3.68, 3 Sr 3.82
Y (0.7524, 0.7524, 0.7524)  3 Ca 3.67, 6 Y 3.68, 3 Sr 3.82


[7]
DFT (meta-GGA SCAN) results for Cs3GaRe at its PBEsol-relaxed geometry.

space group	Pm-3m, No. 221
DFT formation energy	1.65	eV/atom

Lattice parameters (Å, degrees): 5.9150 5.9150 5.9150 90.00 90.00 90.00
With the nearest neighbours (Å) after each atom.
Fractional positions:
Cs (0.0000, 0.0000, 0.5000)  2 Re 2.96
Cs (0.0000, 0.5000, 0.0000)  2 Re 2.96
Cs (0.5000, 0.0000, 0.0000)  2 Re 2.96
Ga (0.5000, 0.5000, 0.5000)  12 Cs 4.18
Re (0.0000, 0.0000, 0.0000)  6 Cs 2.96


[8]
DFT (meta-GGA SCAN) results for GaMoSe2 at its PBEsol-relaxed geometry.

ΔE_f (raw)	0.237	eV per atom
space group	Fm-3m, No. 225

Lattice parameters (Å, degrees): 4.5330 4.5330 4.5330 60.00 60.00 60.00
With the nearest neighbours (Å) after each atom.
Fractional positions:
Ga (0.0000, 0.0000, 0.0000)  8 Se 2.78
Mo (0.5000, 0.5000, 0.5000)  8 Se 2.78
Se (0.2500, 0.2500, 0.2500)  4 Mo 2.78, 4 Ga 2.78
Se (0.7500, 0.7500, 0.7500)  4 Mo 2.78, 4 Ga 2.78


Number 1: magnetic moment 0.00 μB per cell, density of states at the Fermi level 5.7 states/eV/cell. Number 2: magnetic moment 0.00 μB per cell, density of states at the Fermi level 3.4 states/eV/cell. Number 3: magnetic moment 0.00 μB per cell, density of states at the Fermi level 3.3 states/eV/cell. Number 4: magnetic moment 0.00 μB per cell, density of states at the Fermi level 2.4 states/eV/cell. Number 5: magnetic moment 0.00 μB per cell, density of states at the Fermi level 2.3 states/eV/cell. Number 6: magnetic moment 1.67 μB per cell, density of states at the Fermi level 4.1 states/eV/cell. Number 7: magnetic moment 1.49 μB per cell, density of states at the Fermi level 6.9 states/eV/cell. Number 8: magnetic moment 0.00 μB per cell, density of states at the Fermi level 1.5 states/eV/cell.